Record 1
Compound: Y4ZrAg
Source: Alexandria via LeMat-Bulk
Functional: GGA-PBEsol
Structure: optimized geometry

Results
DOS at the Fermi energy (states/eV/atom): 1.03
Symmetry: No. 216
Raw total energy (eV/atom): -6.076
Crystal system: cubic

abc: 6.1229 6.1229 6.1229
angles: 60.00 60.00 60.00
Atoms (fractional coordinates):
Y1 0.8730 0.3757 0.3757
Y2 0.3757 0.3757 0.3757
Y3 0.3757 0.3757 0.8730
Y4 0.3757 0.8730 0.3757
Zr1 0.7500 0.7500 0.7500
Ag1 0.0000 0.0000 0.0000



Record 2
Compound: YZrAg3
Source: Alexandria via LeMat-Bulk
Functional: GGA-PBEsol
Structure: optimized geometry

Results
DOS at the Fermi energy (states/eV/atom): 0.93
Symmetry: No. 221
Raw total energy (eV/atom): -4.072
Crystal system: cubic

abc: 5.0233 5.0233 5.0233
angles: 90.00 90.00 90.00
Last column: magnetic moment on the atom in μB.
Atoms (fractional coordinates):
Zr1 0.5000 0.5000 0.5000  0.40
Ag1 0.0000 0.5000 0.0000  0.00
Ag2 0.0000 0.0000 0.5000  0.00
Ag3 0.5000 0.0000 0.0000  0.00
Y1 0.0000 0.0000 0.0000  -0.02



Record 3
Compound: YZrAg
Source: Alexandria via LeMat-Bulk
Functional: GGA-PBEsol
Structure: optimized geometry

Results
DOS at the Fermi energy (states/eV/atom): 1.56
Symmetry: No. 216
Raw total energy (eV/atom): -6.074
Crystal system: cubic

abc: 4.7776 4.7776 4.7776
angles: 60.00 60.00 60.00
Last column: magnetic moment on the atom in μB.
Atoms (fractional coordinates):
Zr1 0.5000 0.5000 0.5000  0.51
Y1 0.0000 0.0000 0.0000  0.26
Ag1 0.2500 0.2500 0.2500  0.05



Record 4
Compound: Zn4Ag3
Source: Alexandria via LeMat-Bulk
Functional: GGA-PBEsol
Structure: optimized geometry

Results
DOS at the Fermi energy (states/eV/atom): 0.22
Symmetry: No. 139
Raw total energy (eV/atom): -2.363
Crystal system: tetragonal

abc: 3.1126 3.1126 11.0079
angles: 98.13 98.13 90.00
Atoms (fractional coordinates):
Ag1 0.2917 0.2917 0.5835
Ag2 0.7083 0.7083 0.4165
Ag3 0.0000 0.0000 0.0000
Zn1 0.8614 0.8614 0.7228
Zn2 0.4278 0.4278 0.8556
Zn3 0.1386 0.1386 0.2772
Zn4 0.5722 0.5722 0.1444



Record 5
Compound: ZnAg
Source: Alexandria via LeMat-Bulk
Functional: GGA-PBEsol
Structure: optimized geometry

Results
DOS at the Fermi energy (states/eV/atom): 0.30
Symmetry: No. 227
Raw total energy (eV/atom): -2.453
Crystal system: cubic

abc: 4.4206 4.4206 4.4206
angles: 60.00 60.00 60.00
Atoms (fractional coordinates):
Zn1 0.5000 0.5000 0.5000
Zn2 0.7500 0.7500 0.7500
Ag1 0.0000 0.0000 0.0000
Ag2 0.2500 0.2500 0.2500



Record 6
Compound: ZnAg2
Source: Alexandria via LeMat-Bulk
Functional: GGA-PBEsol
Structure: optimized geometry

Results
DOS at the Fermi energy (states/eV/atom): 0.29
Symmetry: No. 227
Raw total energy (eV/atom): -2.722
Crystal system: cubic

abc: 8.1567 8.1567 8.1567
angles: 60.00 60.00 60.00
Atoms (fractional coordinates):
Ag1 0.8153 0.8153 0.1847
Ag2 0.6250 0.6250 0.6250
Ag3 0.1847 0.8153 0.8153
Ag4 0.1847 0.8153 0.1847
Ag5 0.0653 0.4347 0.0653
Ag6 0.8153 0.1847 0.8153
Ag7 0.4347 0.0653 0.0653
Ag8 0.4347 0.4347 0.0653
Ag9 0.0653 0.4347 0.4347
Ag10 0.4347 0.0653 0.4347
Ag11 0.0653 0.0653 0.4347
Ag12 0.8153 0.1847 0.1847
Ag13 0.6250 0.1250 0.6250
Ag14 0.1847 0.1847 0.8153
Ag15 0.6250 0.6250 0.1250
Ag16 0.1250 0.6250 0.6250
Zn1 0.4088 0.4088 0.4088
Zn2 0.4088 0.7736 0.4088
Zn3 0.4764 0.8412 0.8412
Zn4 0.8412 0.8412 0.8412
Zn5 0.4088 0.4088 0.7736
Zn6 0.8412 0.4764 0.8412
Zn7 0.7736 0.4088 0.4088
Zn8 0.8412 0.8412 0.4764



Record 7
Compound: ZnAg
Source: Alexandria via LeMat-Bulk
Functional: GGA-PBEsol
Structure: optimized geometry

Results
DOS at the Fermi energy (states/eV/atom): 0.35
Symmetry: No. 194
Raw total energy (eV/atom): -2.400
Crystal system: hexagonal

abc: 4.2921 4.2921 8.0513
angles: 90.00 90.00 120.00
Atoms (fractional coordinates):
Ag1 0.6667 0.3333 0.9185
Ag2 0.3333 0.6667 0.0815
Ag3 0.3333 0.6667 0.4185
Ag4 0.6667 0.3333 0.5815
Zn1 0.0000 0.0000 0.2500
Zn2 0.0000 0.0000 0.7500
Zn3 0.6667 0.3333 0.2500
Zn4 0.3333 0.6667 0.7500



Record 8
Compound: ZnAg
Source: Alexandria via LeMat-Bulk
Functional: GGA-PBEsol
Structure: optimized geometry

Results
DOS at the Fermi energy (states/eV/atom): 0.33
Symmetry: No. 166
Raw total energy (eV/atom): -2.492
Crystal system: trigonal

abc: 2.8265 2.8265 4.7059
angles: 72.52 72.52 60.00
Atoms (fractional coordinates):
Ag1 0.0000 0.0000 0.0000
Zn1 0.5000 0.5000 0.5000



Record 9
Compound: Zn4Ag
Source: Alexandria via LeMat-Bulk
Functional: GGA-PBEsol
Structure: optimized geometry

Results
DOS at the Fermi energy (states/eV/atom): 0.28
Symmetry: No. 166
Raw total energy (eV/atom): -1.927
Crystal system: trigonal

abc: 2.7958 2.7958 10.9305
angles: 82.65 82.65 60.00
Atoms (fractional coordinates):
Zn1 0.5982 0.5982 0.2053
Zn2 0.8007 0.8007 0.5980
Zn3 0.1993 0.1993 0.4020
Zn4 0.4018 0.4018 0.7947
Ag1 0.0000 0.0000 0.0000



Record 10
Compound: ZnAg3
Source: Alexandria via LeMat-Bulk
Functional: GGA-PBEsol
Structure: optimized geometry

Results
DOS at the Fermi energy (states/eV/atom): 0.21
Symmetry: No. 166
Raw total energy (eV/atom): -2.903
Crystal system: trigonal

abc: 2.8650 2.8650 9.1161
angles: 80.96 80.96 60.00
Atoms (fractional coordinates):
Ag1 0.2536 0.2536 0.2391
Ag2 0.5000 0.5000 0.5000
Ag3 0.7464 0.7464 0.7609
Zn1 0.0000 0.0000 0.0000



Record 11
Compound: ZnAg3
Source: Alexandria via LeMat-Bulk
Functional: GGA-PBEsol
Structure: optimized geometry

Results
DOS at the Fermi energy (states/eV/atom): 0.29
Symmetry: No. 221
Raw total energy (eV/atom): -2.917
Crystal system: cubic

abc: 3.9881 3.9881 3.9881
angles: 90.00 90.00 90.00
Atoms (fractional coordinates):
Ag1 0.0000 0.0000 0.5000
Ag2 0.5000 0.0000 0.0000
Ag3 0.0000 0.5000 0.0000
Zn1 0.5000 0.5000 0.5000



Record 12
Compound: ZnAg3
Source: Alexandria via LeMat-Bulk
Functional: GGA-PBEsol
Structure: optimized geometry

Results
DOS at the Fermi energy (states/eV/atom): 0.28
Symmetry: No. 44
Raw total energy (eV/atom): -2.914
Crystal system: orthorhombic

abc: 2.8954 4.7895 5.3587
angles: 116.54 105.67 90.00
Atoms (fractional coordinates):
Ag1 0.7409 0.7255 0.4818
Ag2 0.5000 0.8539 0.0000
Ag3 0.2591 0.2437 0.5182
Zn1 0.0000 0.3435 0.0000



Repeat the third record exactly.
Compound: YZrAg
Source: Alexandria via LeMat-Bulk
Functional: GGA-PBEsol
Structure: optimized geometry

Results
DOS at the Fermi energy (states/eV/atom): 1.56
Symmetry: No. 216
Raw total energy (eV/atom): -6.074
Crystal system: cubic

abc: 4.7776 4.7776 4.7776
angles: 60.00 60.00 60.00
Last column: magnetic moment on the atom in μB.
Atoms (fractional coordinates):
Zr1 0.5000 0.5000 0.5000  0.51
Y1 0.0000 0.0000 0.0000  0.26
Ag1 0.2500 0.2500 0.2500  0.05



- What is the formula in the fourth record?
  Zn4Ag3



- Look up the DOS at the Fermi energy of the twelfth one.
  0.28 states/eV/atom



- raw total energy of number 6 (ZnAg2)?
  -2.722 eV/atom